(1)
Below is a relaxed Li4HoU3S8 crystal, with properties calculated at the GGA-PBE level.

Cell and atoms, written as extended XYZ:
```
16
Lattice="-4.6608 5.1476 3.3840 -3.4232 1.3406 -6.7541 0.4518 -7.2011 2.7595" Properties=species:S:1:pos:R:3 pbc="T T T"
S -6.0966 4.8583 -2.5421
S -3.8766 -2.9858 3.6310
S -3.5308 -1.3113 -2.8684
S -1.7548 -1.9634 0.5698
S -1.5356 -5.5713 1.9314
S -3.7557 2.2729 -4.2418
S -5.8774 1.2505 -1.1805
S -4.1015 0.5984 2.2576
Ho -1.7116 0.6703 -3.3771
Li 0.2259 -3.6005 1.3797
Li -2.1045 -1.0268 3.0717
Li -2.3304 2.5738 1.6920
Li 0.0000 0.0000 0.0000
U -1.4857 -2.9303 -1.9973
U -4.0420 3.2441 -1.6851
U -3.8161 -0.3565 -0.3054
```

Output
- total magnetization (Bohr magnetons per cell) = 8.96
- energy relative to the elements, uncorrected (eV per atom) = -1.47
- uncorrected energy (eV per formula unit) = -102.66

(2)
Below is a relaxed Nd2CuNi4As3 crystal, with properties calculated at the GGA-PBE level.

Cell and atoms, written as extended XYZ:
```
10
Lattice="-0.5588 -2.2376 -3.4437 -0.1112 -3.4660 2.2701 -9.4631 0.9185 0.9387" Properties=species:S:1:pos:R:3 pbc="T T T"
Nd -2.6324 -0.8904 -1.4885
Nd -7.1656 -1.0429 1.8403
As -1.3093 -1.6113 1.2594
As -4.7316 0.4592 0.4694
As -8.4888 -0.3220 -0.9075
Ni 0.0000 0.0000 0.0000
Ni -3.6421 -1.3849 1.4908
Ni -6.1560 -0.5484 -1.1389
Ni -0.3350 -2.8518 -0.5868
Cu -5.0665 -2.3925 -0.1175
```

Output
- total magnetization (Bohr magnetons per cell) = 0.00
- uncorrected energy (eV per formula unit) = -58.11
- E_form (eV/atom) = -0.7399

Q: Which formula does entry 2 have?
A: Nd2CuNi4As3

Q: Which formula does entry 2 have?
A: Nd2CuNi4As3